Entry 1:
! LiMoW2 GGA-PBE optimized geometry; values from VASP
&SYSTEM
  ibrav = 0, nat = 4, ntyp = 3
/
ATOMIC_SPECIES
W 183.84 W.upf
Li 6.94 Li.upf
Mo 95.94 Mo.upf
CELL_PARAMETERS angstrom
5.132 0.000 0.002
2.227 4.624 -0.002
-3.218 -3.046 2.589
ATOMIC_POSITIONS angstrom
W 7.348 4.616 0.000
W 1.291 1.911 1.293
Li 3.690 2.318 0.000
Mo 2.852 -0.333 1.296
! Energy above the most stable polymorph in this dataset = 153 meV/atom
! Energy of formation = 0.435 eV/atom
! VASP energy = -9.23 eV/atom


Entry 2:
! LiMoW2 GGA-PBE optimized geometry; values from VASP
&SYSTEM
  ibrav = 0, nat = 4, ntyp = 3
/
ATOMIC_SPECIES
W 183.84 W.upf
Mo 95.94 Mo.upf
Li 6.94 Li.upf
CELL_PARAMETERS angstrom
-0.367 0.914 -3.160
-2.102 -3.634 -0.807
-3.702 1.923 0.986
ATOMIC_POSITIONS angstrom
W -1.235 -1.360 -1.983
W 0.000 0.000 0.000
Mo -2.902 -0.855 0.090
Li -2.035 1.418 -1.087
! Energy above the most stable polymorph in this dataset = 168 meV/atom
! Energy of formation = 0.450 eV/atom
! VASP energy = -9.21 eV/atom


Entry 3:
! LiMo2W GGA-PBE optimized geometry; values from VASP
&SYSTEM
  ibrav = 0, nat = 4, ntyp = 3
/
ATOMIC_SPECIES
Li 6.94 Li.upf
W 183.84 W.upf
Mo 95.94 Mo.upf
CELL_PARAMETERS angstrom
10.058 0.012 0.007
9.680 2.732 0.007
9.680 1.346 2.378
ATOMIC_POSITIONS angstrom
Li 22.064 3.067 1.793
W 7.355 1.022 0.598
Mo 29.400 4.087 2.390
Mo 14.729 2.047 1.197
! Energy above the most stable polymorph in this dataset = 205 meV/atom
! Energy of formation = 0.452 eV/atom
! VASP energy = -8.68 eV/atom


Entry 4:
! LiMo2W GGA-PBE optimized geometry; values from VASP
&SYSTEM
  ibrav = 0, nat = 4, ntyp = 3
/
ATOMIC_SPECIES
Li 6.94 Li.upf
Mo 95.94 Mo.upf
W 183.84 W.upf
CELL_PARAMETERS angstrom
-2.655 2.966 3.315
-2.650 -2.093 -3.929
-0.513 -2.091 1.460
ATOMIC_POSITIONS angstrom
Li -1.581 -2.092 -1.235
Mo -2.653 0.436 -0.307
Mo 0.000 0.000 0.000
W -1.584 0.438 2.388
! Energy above the most stable polymorph in this dataset = 157 meV/atom
! Energy of formation = 0.404 eV/atom
! VASP energy = -8.73 eV/atom


Entry 5:
! LiMo2W GGA-PBE optimized geometry; values from VASP
&SYSTEM
  ibrav = 0, nat = 4, ntyp = 3
/
ATOMIC_SPECIES
Mo 95.94 Mo.upf
W 183.84 W.upf
Li 6.94 Li.upf
CELL_PARAMETERS angstrom
2.584 0.000 0.000
0.000 4.407 0.000
0.000 0.000 5.458
ATOMIC_POSITIONS angstrom
Mo 0.000 0.000 5.423
Mo 1.292 2.204 1.371
W 0.000 0.000 2.752
Li 1.292 2.204 4.097
! Energy above the most stable polymorph in this dataset = 180 meV/atom
! Energy of formation = 0.427 eV/atom
! VASP energy = -8.70 eV/atom


Entry 6:
! LiMoW2 GGA-PBE optimized geometry; values from VASP
&SYSTEM
  ibrav = 0, nat = 4, ntyp = 3
/
ATOMIC_SPECIES
W 183.84 W.upf
Mo 95.94 Mo.upf
Li 6.94 Li.upf
CELL_PARAMETERS angstrom
5.183 -0.002 0.000
-2.357 4.616 0.000
0.000 0.000 2.618
ATOMIC_POSITIONS angstrom
W 1.413 2.307 0.000
W 0.000 0.000 0.000
Mo -1.179 2.308 1.309
Li 2.592 -0.001 1.309
! Energy above the most stable polymorph in this dataset = 185 meV/atom
! Energy of formation = 0.467 eV/atom
! VASP energy = -9.20 eV/atom


Entry 7:
! LiMo2W GGA-PBE optimized geometry; values from VASP
&SYSTEM
  ibrav = 0, nat = 4, ntyp = 3
/
ATOMIC_SPECIES
Li 6.94 Li.upf
W 183.84 W.upf
Mo 95.94 Mo.upf
CELL_PARAMETERS angstrom
10.062 0.015 0.009
9.683 2.736 0.009
9.683 1.349 2.380
ATOMIC_POSITIONS angstrom
Li 22.073 3.075 1.798
W 14.737 2.053 1.201
Mo 29.398 4.095 2.395
Mo 7.361 1.025 0.600
! Energy above the most stable polymorph in this dataset = 217 meV/atom
! Energy of formation = 0.464 eV/atom
! VASP energy = -8.67 eV/atom


Entry 8:
! LiMoW2 GGA-PBE optimized geometry; values from VASP
&SYSTEM
  ibrav = 0, nat = 4, ntyp = 3
/
ATOMIC_SPECIES
Mo 95.94 Mo.upf
W 183.84 W.upf
Li 6.94 Li.upf
CELL_PARAMETERS angstrom
10.089 0.014 0.008
9.710 2.739 0.008
9.710 1.350 2.383
ATOMIC_POSITIONS angstrom
Mo 7.377 1.026 0.600
W 14.776 2.054 1.201
W 29.488 4.099 2.397
Li 22.132 3.077 1.799
! Energy above the most stable polymorph in this dataset = 206 meV/atom
! Energy of formation = 0.488 eV/atom
! VASP energy = -9.18 eV/atom


Entry 9:
! LiMoW2 GGA-PBE optimized geometry; values from VASP
&SYSTEM
  ibrav = 0, nat = 4, ntyp = 3
/
ATOMIC_SPECIES
Li 6.94 Li.upf
Mo 95.94 Mo.upf
W 183.84 W.upf
CELL_PARAMETERS angstrom
0.000 3.118 3.118
3.118 0.000 3.118
3.118 3.118 0.000
ATOMIC_POSITIONS angstrom
Li 0.000 0.000 0.000
Mo 3.118 3.118 3.118
W 1.559 1.559 1.559
W 4.677 4.677 4.677
! Energy above the most stable polymorph in this dataset = 193 meV/atom
! Energy of formation = 0.476 eV/atom
! VASP energy = -9.19 eV/atom


Entry 10:
! LiMo2W GGA-PBE optimized geometry; values from VASP
&SYSTEM
  ibrav = 0, nat = 4, ntyp = 3
/
ATOMIC_SPECIES
Mo 95.94 Mo.upf
W 183.84 W.upf
Li 6.94 Li.upf
CELL_PARAMETERS angstrom
4.441 0.000 0.000
0.000 2.652 -0.002
0.000 0.845 5.211
ATOMIC_POSITIONS angstrom
Mo 0.000 1.786 2.594
Mo 0.000 2.614 0.008
W 2.221 0.874 1.302
Li 2.221 2.623 3.907
! Energy above the most stable polymorph in this dataset = 47 meV/atom
! Energy of formation = 0.294 eV/atom
! VASP energy = -8.84 eV/atom


Entry 11:
! LiMo2W GGA-PBE optimized geometry; values from VASP
&SYSTEM
  ibrav = 0, nat = 4, ntyp = 3
/
ATOMIC_SPECIES
W 183.84 W.upf
Li 6.94 Li.upf
Mo 95.94 Mo.upf
CELL_PARAMETERS angstrom
2.700 0.002 0.000
-0.876 2.554 0.000
0.000 0.000 9.220
ATOMIC_POSITIONS angstrom
W 0.000 0.000 4.546
Li 0.912 1.278 6.911
Mo 0.912 1.278 2.302
Mo 0.000 0.000 0.072
! Energy above the most stable polymorph in this dataset = 19 meV/atom
! Energy of formation = 0.266 eV/atom
! VASP energy = -8.87 eV/atom


Entry 12:
! LiMo2W GGA-PBE optimized geometry; values from VASP
&SYSTEM
  ibrav = 0, nat = 4, ntyp = 3
/
ATOMIC_SPECIES
Mo 95.94 Mo.upf
W 183.84 W.upf
Li 6.94 Li.upf
CELL_PARAMETERS angstrom
-2.112 -3.872 0.065
0.249 -2.588 3.563
-3.534 -0.541 2.584
ATOMIC_POSITIONS angstrom
Mo -1.349 -1.750 1.553
Mo -4.048 -5.251 4.659
W -2.699 -3.500 3.106
Li 0.000 0.000 0.000
! Energy above the most stable polymorph in this dataset = 137 meV/atom
! Energy of formation = 0.384 eV/atom
! VASP energy = -8.75 eV/atom


Entry 13:
! LiMoW2 GGA-PBE optimized geometry; values from VASP
&SYSTEM
  ibrav = 0, nat = 4, ntyp = 3
/
ATOMIC_SPECIES
W 183.84 W.upf
Li 6.94 Li.upf
Mo 95.94 Mo.upf
CELL_PARAMETERS angstrom
2.595 0.000 0.000
0.000 4.366 0.000
0.000 0.000 5.504
ATOMIC_POSITIONS angstrom
W 1.298 2.183 1.407
W 0.000 0.000 0.005
Li 0.000 0.000 2.757
Mo 1.298 2.183 4.087
! Energy above the most stable polymorph in this dataset = 155 meV/atom
! Energy of formation = 0.437 eV/atom
! VASP energy = -9.23 eV/atom


Entry 14:
! LiMoW2 GGA-PBE optimized geometry; values from VASP
&SYSTEM
  ibrav = 0, nat = 4, ntyp = 3
/
ATOMIC_SPECIES
W 183.84 W.upf
Li 6.94 Li.upf
Mo 95.94 Mo.upf
CELL_PARAMETERS angstrom
-0.684 -2.777 -1.472
3.063 -0.250 -0.951
1.265 -2.872 4.829
ATOMIC_POSITIONS angstrom
W 1.529 -2.285 0.085
W 1.265 -2.871 4.829
Li 0.634 -1.439 2.421
Mo 2.113 -3.611 2.315
! Energy above the most stable polymorph in this dataset = 160 meV/atom
! Energy of formation = 0.442 eV/atom
! VASP energy = -9.22 eV/atom


Entry 15:
! LiMo2W GGA-PBE optimized geometry; values from VASP
&SYSTEM
  ibrav = 0, nat = 4, ntyp = 3
/
ATOMIC_SPECIES
Mo 95.94 Mo.upf
W 183.84 W.upf
Li 6.94 Li.upf
CELL_PARAMETERS angstrom
-0.556 -2.542 -0.316
0.880 -0.493 2.420
-8.564 1.448 3.411
ATOMIC_POSITIONS angstrom
Mo -0.005 0.001 0.002
Mo -4.277 0.723 1.703
W -1.979 -1.156 1.904
Li -6.261 -0.432 3.610
! Energy above the most stable polymorph in this dataset = 166 meV/atom
! Energy of formation = 0.413 eV/atom
! VASP energy = -8.72 eV/atom